Record 1
This record from Alexandria describes a relaxed structure of BaAsRu. The functional is PBE-GGA.

```
BaAsRu
1.0
0.0000 3.3624 3.3624
3.3624 0.0000 3.3624
3.3624 3.3624 0.0000
Ba As Ru
1 1 1
Direct
0.0000 0.0000 0.0000 Ba
0.5000 0.5000 0.5000 As
0.7500 0.7500 0.7500 Ru
```

Properties
**SG**: F-43m, No. 216
**Energy relative to the elements**: 0.23 eV per atom
**Total magnetization**: 0.000 μB/atom
**DOS at the Fermi energy**: 3.3 states/eV/f.u.

***

Record 2
This record from Alexandria describes a relaxed structure of BaAsRu. The functional is PBE-GGA.

```
BaAsRu
1.0
4.2251 0.0000 0.0000
-2.1125 3.6590 0.0000
0.0000 0.0000 5.0572
Ba As Ru
1 1 1
Direct
0.0000 0.0000 0.0000 Ba
0.3333 0.6667 0.5000 As
0.6667 0.3333 0.5000 Ru
```

Properties
**SG**: P-6m2, No. 187
**Energy relative to the elements**: -0.42 eV per atom
**Total magnetization**: 0.000 μB/atom
**DOS at the Fermi energy**: 3.1 states/eV/f.u.